Computed, not measured: LiAl2Hg after structural relaxation at the GGA-PBE level of DFT.

Output
energy relative to the elements = 0.39 eV per formula unit

```
data_LiAl2Hg
_symmetry_space_group_name_H-M 'C m m m'
_symmetry_Int_Tables_number 65
_symmetry_space_group_name_Hall '-C 2 2'
_cell_length_a 3.509
_cell_length_b 4.894
_cell_length_c 8.897
_cell_angle_alpha 90.00
_cell_angle_beta 90.00
_cell_angle_gamma 90.00
loop_
_atom_site_label
_atom_site_type_symbol
_atom_site_fract_x
_atom_site_fract_y
_atom_site_fract_z
Li1 Li 0.000 0.000 0.000
Al1 Al 0.000 0.500 0.241
Hg1 Hg 0.000 0.000 0.500
```



Computed, not measured: LiAlHg2 after structural relaxation at the GGA-PBE level of DFT.

Output
energy relative to the elements = -0.48 eV per formula unit

```
data_LiAlHg2
_symmetry_space_group_name_H-M 'P 4/m m m'
_symmetry_Int_Tables_number 123
_symmetry_space_group_name_Hall '-P 4 2'
_cell_length_a 3.533
_cell_length_b 3.533
_cell_length_c 6.227
_cell_angle_alpha 90.00
_cell_angle_beta 90.00
_cell_angle_gamma 90.00
loop_
_atom_site_label
_atom_site_type_symbol
_atom_site_fract_x
_atom_site_fract_y
_atom_site_fract_z
Li1 Li 0.000 0.000 0.000
Al1 Al 0.000 0.000 0.500
Hg1 Hg 0.500 0.500 0.243
```



Computed, not measured: LiAl2Hg after structural relaxation at the GGA-PBE level of DFT.

Output
energy relative to the elements = 0.07 eV per formula unit

```
data_LiAl2Hg
_symmetry_space_group_name_H-M 'P 4/m m m'
_symmetry_Int_Tables_number 123
_symmetry_space_group_name_Hall '-P 4 2'
_cell_length_a 3.731
_cell_length_b 3.731
_cell_length_c 5.356
_cell_angle_alpha 90.00
_cell_angle_beta 90.00
_cell_angle_gamma 90.00
loop_
_atom_site_label
_atom_site_type_symbol
_atom_site_fract_x
_atom_site_fract_y
_atom_site_fract_z
Li1 Li 0.000 0.000 0.000
Al1 Al 0.500 0.500 0.249
Hg1 Hg 0.000 0.000 0.500
```